TlMoF2 after structural relaxation. Source: the Alexandria database, functional GGA+U.

The structure belongs to space group I-42d (No. 122); the cell edges are 4.880, 4.880 and 14.824 Å and the angles 90.00°, 90.00° and 90.00°. The distinct sites, in fractional coordinates, are Tl at (0.000, 0.000, 0.000), Mo at (0.000, 0.000, 0.500) and F at (0.171, 0.250, 0.625).

The crystal system is tetragonal. For the magnetic moment, the calculation gives 5.0 μB/f.u. The value obtained for the energy above the most stable polymorph in this dataset is 177 meV per atom.